Here is a relaxed structure of BaZrRu4 from the Alexandria database. Energies are from PBE.

Output
E_form in eV/atom: 0.32
Fermi-level density of states in states/eV per cell: 40.09

```
data_BaZrRu4
_chemical_formula_sum 'Ba4 Zr4 Ru16'
_symmetry_space_group_name_H-M 'F -4 3 m'
_symmetry_Int_Tables_number 216
_symmetry_space_group_name_Hall 'F -4 2 3'
_cell_length_a 7.642
_cell_length_b 7.642
_cell_length_c 7.642
_cell_angle_alpha 90.00
_cell_angle_beta 90.00
_cell_angle_gamma 90.00
loop_
_atom_site_label
_atom_site_type_symbol
_atom_site_fract_x
_atom_site_fract_y
_atom_site_fract_z
_atom_site_occupancy
Ba1 Ba 0.000 0.000 0.000 1
Zr1 Zr 0.250 0.250 0.250 1
Ru1 Ru 0.124 0.124 0.624 1
```